No. 1
The following is a DFT calculation (PBE-GGA) of crystalline Ho4HfCu5 at its relaxed geometry.

Unit cell a=3.398 b=3.398 c=17.161 alpha=90.00 beta=90.00 gamma=90.00
Space group P4/mmm (No. 123)
Symmetry-distinct sites (fractional):
Ho  0.000  0.000  0.102 (multiplicity 2)
Ho  0.000  0.000  0.307 (multiplicity 2)
Hf  0.000  0.000  0.500 (multiplicity 1)
Cu  0.500  0.500  0.000 (multiplicity 1)
Cu  0.500  0.500  0.205 (multiplicity 2)
Cu  0.500  0.500  0.419 (multiplicity 2)

Results
Total energy (eV/cell): -50.983
ΔE_f (eV/atom): -0.22
D(E_F) (states/eV/atom): 0.58

---

No. 2
The following is a DFT calculation (PBE-GGA) of crystalline HoHfCu10 at its relaxed geometry.

Unit cell a=4.088 b=4.961 c=8.520 alpha=90.00 beta=90.00 gamma=90.00
Space group Pmmm (No. 47)
Symmetry-distinct sites (fractional):
Ho  0.000  0.000  0.000 (multiplicity 1)
Hf  0.000  0.500  0.500 (multiplicity 1)
Cu  0.000  0.000  0.340 (multiplicity 2)
Cu  0.000  0.500  0.175 (multiplicity 2)
Cu  0.500  0.000  0.500 (multiplicity 1)
Cu  0.500  0.254  0.256 (multiplicity 4)
Cu  0.500  0.500  0.000 (multiplicity 1)

Results
Total energy (eV/cell): -56.758
ΔE_f (eV/atom): -0.11
D(E_F) (states/eV/atom): 0.70

---

No. 3
The following is a DFT calculation (PBE-GGA) of crystalline HoHfCu4 at its relaxed geometry.

Unit cell a=3.139 b=4.255 c=7.398 alpha=90.00 beta=90.00 gamma=90.00
Space group Pmmm (No. 47)
Symmetry-distinct sites (fractional):
Ho  0.000  0.000  0.000 (multiplicity 1)
Hf  0.000  0.500  0.500 (multiplicity 1)
Cu  0.500  0.000  0.339 (multiplicity 2)
Cu  0.500  0.500  0.173 (multiplicity 2)

Results
Energy above the lowest structure with this stoichiometry (eV/atom): 0.000
Total energy (eV/cell): -31.894
ΔE_f (eV/atom): -0.16
D(E_F) (states/eV/atom): 0.64

---

Q: Which of these has the highest ΔE_f?
A: HoHfCu10

---

Q: Which formula does entry 1 have?
A: Ho4HfCu5